DFT (PBE-GGA) results for an optimized crystal structure of CeNd12Ho7.

Unit cell a=15.4266 b=15.4266 c=9.9448 alpha=90.00 beta=90.00 gamma=120.00
Space group R-3 (No. 148, hexagonal axes)
Inequivalent atoms, fractional coordinates:
Ce: 0.0000 0.0000 0.0000 x3
Nd: 0.0093 0.2466 0.4078 x18
Nd: 0.0764 0.5867 0.6213 x18
Ho: 0.0000 0.0000 0.5000 x3
Ho: 0.0069 0.8589 0.2688 x18

Calculated values
**Energy relative to the lowest polymorph listed for this composition**: 0.0000 eV/atom
**ΔH_f (0 K)**: 0.156 eV/atom

DFT (PBE-GGA) results for an optimized crystal structure of CeNdHo14.

Unit cell a=9.9964 b=10.0036 c=9.9963 alpha=90.00 beta=90.00 gamma=90.00
Space group Cmmm (No. 65)
Inequivalent atoms, fractional coordinates:
Ce: 0.0000 0.0000 0.0000 x2
Nd: 0.0000 0.5000 0.0000 x2
Ho: 0.0000 0.0000 0.5000 x2
Ho: 0.0000 0.2484 0.2515 x8
Ho: 0.0000 0.5000 0.5000 x2
Ho: 0.2484 0.0000 0.2514 x8
Ho: 0.2500 0.2500 0.0000 x4
Ho: 0.2500 0.2500 0.5000 x4

Calculated values
**ΔH_f (0 K)**: 0.032 eV/atom

DFT (PBE-GGA) results for an optimized crystal structure of CeNd12Ho5.

Unit cell a=15.4028 b=15.4141 c=5.1422 alpha=90.00 beta=90.00 gamma=90.00
Space group Cmmm (No. 65)
Inequivalent atoms, fractional coordinates:
Ce: 0.0000 0.0000 0.0000 x2
Nd: 0.1631 0.0000 0.5000 x4
Nd: 0.1644 0.1662 0.0000 x8
Nd: 0.1647 0.3338 0.5000 x8
Nd: 0.1646 0.5000 0.0000 x4
Ho: 0.0000 0.1659 0.5000 x4
Ho: 0.0000 0.3332 0.0000 x4
Ho: 0.0000 0.5000 0.5000 x2

Calculated values
**ΔH_f (0 K)**: 0.034 eV/atom